An optimized crystal structure of Sc3SiSn2, computed with PBE-GGA.

Values from the calculation:
Its formation energy from raw total energies is -550 meV/atom. The calculated density is 4.96 Mg/m³. Its density of states at the Fermi level is 0.6605 states/eV per atom.

```
data_Sc3SiSn2
_chemical_formula_sum 'Sc12 Si4 Sn8'
_symmetry_space_group_name_H-M 'P 1'
_symmetry_Int_Tables_number 1
_symmetry_space_group_name_Hall 'P 1'
_cell_length_a 4.065
_cell_length_b 11.159
_cell_length_c 11.813
_cell_angle_alpha 90.00
_cell_angle_beta 90.00
_cell_angle_gamma 90.00
loop_
_atom_site_label
_atom_site_fract_x
_atom_site_fract_y
_atom_site_fract_z
_atom_site_occupancy
Sc1 0.750 0.228 0.245 1
Sc2 0.750 0.272 0.745 1
Sc3 0.750 0.542 0.615 1
Sc4 0.250 0.458 0.385 1
Sc5 0.250 0.117 0.557 1
Sc6 0.250 0.383 0.057 1
Sc7 0.250 0.728 0.255 1
Sc8 0.750 0.617 0.943 1
Sc9 0.750 0.958 0.115 1
Sc10 0.750 0.883 0.443 1
Sc11 0.250 0.042 0.885 1
Sc12 0.250 0.772 0.755 1
Si1 0.250 0.131 0.119 1
Si2 0.250 0.369 0.619 1
Si3 0.750 0.631 0.381 1
Si4 0.750 0.869 0.881 1
Sn1 0.750 0.289 0.481 1
Sn2 0.250 0.491 0.812 1
Sn3 0.250 0.009 0.312 1
Sn4 0.250 0.789 0.019 1
Sn5 0.750 0.211 0.981 1
Sn6 0.750 0.509 0.188 1
Sn7 0.250 0.711 0.519 1
Sn8 0.750 0.991 0.688 1
```